Entry 1:
Compound: Si2TcSe
Source: Alexandria via LeMat-Bulk
Functional: SCAN
Structure: single point on PBEsol structure

Cell: 4.0516 4.8710 4.8710 Å, 39.27 90.00 90.00°
Positions (direct):
Si1 0.0000 0.0000 0.0000
Si2 0.5000 0.4434 0.4434
Tc1 0.5000 0.1510 0.1510
Se1 0.0000 0.7400 0.7400

Summary:
volume = 15.2 Å³/atom
Fermi-level density of states = 0.520 states/eV/atom
E_tot = -0.6838 Ha/atom
space group = Amm2

Entry 2:
Compound: CsSbI2O
Source: Alexandria via LeMat-Bulk
Functional: SCAN
Structure: single point on PBEsol structure

Cell: 6.6472 6.6472 4.1998 Å, 90.00 90.00 90.00°
Positions (direct):
Cs1 0.0000 0.0000 0.0000
Sb1 0.5000 0.5000 0.5000
I1 0.0000 0.5000 0.0000
I2 0.5000 0.0000 0.0000
O1 0.0000 0.0000 0.5000

Summary:
volume = 37.1 Å³/atom
Fermi-level density of states = 0.798 states/eV/atom
excess energy over the best structure of this formula in the dataset = 1429 meV per atom
space group = P4/mmm

Entry 3:
Compound: MgBe2Fe
Source: Alexandria via LeMat-Bulk
Functional: SCAN
Structure: single point on PBEsol structure

Cell: 4.6455 4.6455 4.6455 Å, 145.02 128.33 63.93°
Positions (direct):
Mg1 0.0000 0.0000 0.0000
Be1 0.2728 0.7728 0.5000
Be2 0.7272 0.2272 0.5000
Fe1 0.5000 0.5000 0.0000

Summary:
volume = 11.1 Å³/atom
Fermi-level density of states = 0.409 states/eV/atom
ΔE_f = 281 meV/atom
space group = Immm

Magnetic moment values (in μB/f.u.) by entry order: 0.00, 0.02, 1.60.